(1)
Entry from the Alexandria database: an optimized crystal structure of Rb3HfW (PBE-GGA).

Summary:
Symmetry = Pm-3m (221)
Energy of formation = 2.4180 eV per atom

Unit cell a=6.834 b=6.834 c=6.834 alpha=90.00 beta=90.00 gamma=90.00
Fractional coordinates of all 5 atoms:
Rb1 0.500 0.000 0.000
Hf1 0.500 0.500 0.500
Rb2 0.000 0.500 0.000
W1 0.000 0.000 0.000
Rb3 0.000 0.000 0.500

=====

(2)
Entry from the Alexandria database: an optimized crystal structure of RbHf3W (PBE-GGA).

Summary:
Symmetry = Pm-3m (221)
Energy of formation = 2.7389 eV per atom

Unit cell a=4.872 b=4.872 c=4.872 alpha=90.00 beta=90.00 gamma=90.00
Fractional coordinates of all 5 atoms:
Rb1 0.000 0.000 0.000
Hf1 0.000 0.500 0.000
Hf2 0.500 0.000 0.000
Hf3 0.000 0.000 0.500
W1 0.500 0.500 0.500

=====

(3)
Entry from the Alexandria database: an optimized crystal structure of RbHf3W (PBE-GGA).

Summary:
Symmetry = Pm-3m (221)
Energy of formation = 1.0621 eV per atom

Unit cell a=5.255 b=5.255 c=5.255 alpha=90.00 beta=90.00 gamma=90.00
Fractional coordinates of all 5 atoms:
Hf1 0.000 0.000 0.500
Hf2 0.000 0.500 0.000
W1 0.000 0.000 0.000
Hf3 0.500 0.000 0.000
Rb1 0.500 0.500 0.500

=====

(4)
Entry from the Alexandria database: an optimized crystal structure of RbHfW2 (PBE-GGA).

Summary:
Symmetry = I-42d (122)
Energy of formation = 2.0362 eV per atom

Unit cell a=4.782 b=4.782 c=10.425 alpha=76.74 beta=76.74 gamma=90.00
Fractional coordinates of all 8 atoms:
W1 0.375 0.037 0.750
W2 0.963 0.125 0.250
Rb1 0.500 0.500 0.000
Rb2 0.250 0.750 0.500
Hf1 0.750 0.250 0.500
W3 0.875 0.213 0.750
Hf2 0.000 0.000 0.000
W4 0.787 0.625 0.250

=====

(5)
Entry from the Alexandria database: an optimized crystal structure of RbHfW2 (PBE-GGA).

Summary:
Symmetry = Fm-3m (225)
Energy of formation = 2.0320 eV per atom

Unit cell a=4.903 b=4.903 c=4.903 alpha=60.00 beta=60.00 gamma=60.00
Fractional coordinates of all 4 atoms:
Rb1 0.000 0.000 0.000
W1 0.750 0.750 0.750
Hf1 0.500 0.500 0.500
W2 0.250 0.250 0.250

=====

(6)
Entry from the Alexandria database: an optimized crystal structure of RbHf2W (PBE-GGA).

Summary:
Symmetry = I4_1/amd (141)
Energy of formation = 1.6274 eV per atom

Unit cell a=7.534 b=7.534 c=8.248 alpha=62.83 beta=62.83 gamma=90.00
Fractional coordinates of all 8 atoms:
Hf1 0.375 0.125 0.750
Hf2 0.875 0.125 0.250
W1 0.000 0.000 0.000
Hf3 0.875 0.625 0.250
W2 0.750 0.250 0.500
Rb1 0.250 0.750 0.500
Rb2 0.500 0.500 0.000
Hf4 0.875 0.125 0.750

=====

(7)
Entry from the Alexandria database: an optimized crystal structure of RbHf2W (PBE-GGA).

Summary:
Symmetry = Fm-3m (225)
Energy of formation = 1.3175 eV per atom

Unit cell a=5.009 b=5.009 c=5.009 alpha=60.00 beta=60.00 gamma=60.00
Fractional coordinates of all 4 atoms:
W1 0.500 0.500 0.500
Hf1 0.750 0.750 0.750
Rb1 0.000 0.000 0.000
Hf2 0.250 0.250 0.250

=====

(8)
Entry from the Alexandria database: an optimized crystal structure of RbHf2ZrW (PBE-GGA).

Summary:
Symmetry = P4/mmm (123)
Energy of formation = 2.3186 eV per atom

Unit cell a=5.158 b=5.445 c=5.158 alpha=90.00 beta=90.00 gamma=90.00
Fractional coordinates of all 5 atoms:
W1 0.500 0.500 0.500
Rb1 0.000 0.500 0.000
Hf1 0.000 0.000 0.500
Zr1 0.000 0.000 0.000
Hf2 0.500 0.000 0.000

=====

(9)
Entry from the Alexandria database: an optimized crystal structure of Rb3YHf (PBE-GGA).

Summary:
Symmetry = Pm-3m (221)
Energy of formation = 1.8076 eV per atom

Unit cell a=7.035 b=7.035 c=7.035 alpha=90.00 beta=90.00 gamma=90.00
Fractional coordinates of all 5 atoms:
Rb1 0.000 0.500 0.000
Rb2 0.000 0.000 0.500
Y1 0.000 0.000 0.000
Hf1 0.500 0.500 0.500
Rb3 0.500 0.000 0.000

=====

(10)
Entry from the Alexandria database: an optimized crystal structure of Rb3YHf (PBE-GGA).

Summary:
Symmetry = Pm-3m (221)
Energy of formation = 1.6176 eV per atom

Unit cell a=6.906 b=6.906 c=6.906 alpha=90.00 beta=90.00 gamma=90.00
Fractional coordinates of all 5 atoms:
Rb1 0.000 0.500 0.000
Hf1 0.000 0.000 0.000
Rb2 0.500 0.000 0.000
Rb3 0.000 0.000 0.500
Y1 0.500 0.500 0.500

=====

(11)
Entry from the Alexandria database: an optimized crystal structure of Rb2YHf (PBE-GGA).

Summary:
Symmetry = Fm-3m (225)
Energy of formation = 1.4448 eV per atom

Unit cell a=6.091 b=6.091 c=6.091 alpha=60.00 beta=60.00 gamma=60.00
Fractional coordinates of all 4 atoms:
Rb1 0.750 0.750 0.750
Y1 0.000 0.000 0.000
Rb2 0.250 0.250 0.250
Hf1 0.500 0.500 0.500

=====

(12)
Entry from the Alexandria database: an optimized crystal structure of Rb4YHf2 (PBE-GGA).

Summary:
Symmetry = I4/mmm (139)
Energy of formation = 1.5008 eV per atom

Unit cell a=7.017 b=7.017 c=10.348 alpha=70.18 beta=70.18 gamma=90.00
Fractional coordinates of all 7 atoms:
Hf1 0.569 0.569 0.861
Rb1 0.500 0.000 0.000
Rb2 0.000 0.500 0.000
Y1 0.000 0.000 0.000
Hf2 0.431 0.431 0.139
Rb3 0.216 0.216 0.569
Rb4 0.784 0.784 0.431

=====

(13)
Entry from the Alexandria database: an optimized crystal structure of Rb2YHf (PBE-GGA).

Summary:
Symmetry = I-42d (122)
Energy of formation = 1.4108 eV per atom

Unit cell a=10.317 b=10.317 c=7.960 alpha=49.61 beta=49.61 gamma=90.00
Fractional coordinates of all 8 atoms:
Y1 0.250 0.750 0.500
Rb1 0.375 0.361 0.750
Hf1 0.750 0.250 0.500
Rb2 0.111 0.625 0.250
Rb3 0.639 0.125 0.250
Y2 0.500 0.500 0.000
Rb4 0.875 0.889 0.750
Hf2 0.000 0.000 0.000

=====

(14)
Entry from the Alexandria database: an optimized crystal structure of Rb2YHfZn (PBE-GGA).

Summary:
Symmetry = P4/mmm (123)
Energy of formation = 1.6682 eV per atom

Unit cell a=7.054 b=5.335 c=7.054 alpha=90.00 beta=90.00 gamma=90.00
Fractional coordinates of all 5 atoms:
Y1 0.000 0.000 0.000
Hf1 0.500 0.500 0.500
Rb1 0.000 0.000 0.500
Rb2 0.500 0.000 0.000
Zn1 0.000 0.500 0.000

=====

(15)
Entry from the Alexandria database: an optimized crystal structure of Rb2HfZn (PBE-GGA).

Summary:
Symmetry = I-42d (122)
Energy of formation = 1.0179 eV per atom

Unit cell a=13.107 b=13.107 c=9.631 alpha=47.12 beta=47.12 gamma=90.00
Fractional coordinates of all 8 atoms:
Rb1 0.875 0.717 0.750
Zn1 0.250 0.750 0.500
Rb2 0.375 0.533 0.750
Hf1 0.000 0.000 0.000
Rb3 0.283 0.625 0.250
Rb4 0.467 0.125 0.250
Hf2 0.750 0.250 0.500
Zn2 0.500 0.500 0.000

=====

(16)
Entry from the Alexandria database: an optimized crystal structure of Rb3HfZn (PBE-GGA).

Summary:
Symmetry = Pm-3m (221)
Energy of formation = 1.1762 eV per atom

Unit cell a=6.640 b=6.640 c=6.640 alpha=90.00 beta=90.00 gamma=90.00
Fractional coordinates of all 5 atoms:
Zn1 0.000 0.000 0.000
Rb1 0.500 0.000 0.000
Hf1 0.500 0.500 0.500
Rb2 0.000 0.000 0.500
Rb3 0.000 0.500 0.000

=====

(17)
Entry from the Alexandria database: an optimized crystal structure of RbHfZn3 (PBE-GGA).

Summary:
Symmetry = Pm-3m (221)
Energy of formation = 1.6074 eV per atom

Unit cell a=5.304 b=5.304 c=5.304 alpha=90.00 beta=90.00 gamma=90.00
Fractional coordinates of all 5 atoms:
Rb1 0.000 0.000 0.000
Zn1 0.000 0.000 0.500
Zn2 0.500 0.000 0.000
Hf1 0.500 0.500 0.500
Zn3 0.000 0.500 0.000

=====

(18)
Entry from the Alexandria database: an optimized crystal structure of RbHfZn3 (PBE-GGA).

Summary:
Symmetry = Pm-3m (221)
Energy of formation = 0.5807 eV per atom

Unit cell a=5.443 b=5.443 c=5.443 alpha=90.00 beta=90.00 gamma=90.00
Fractional coordinates of all 5 atoms:
Zn1 0.000 0.000 0.500
Zn2 0.000 0.500 0.000
Rb1 0.500 0.500 0.500
Hf1 0.000 0.000 0.000
Zn3 0.500 0.000 0.000

=====

(19)
Entry from the Alexandria database: an optimized crystal structure of RbHf2ZrZn (PBE-GGA).

Summary:
Symmetry = P4/mmm (123)
Energy of formation = 1.3422 eV per atom

Unit cell a=5.145 b=5.407 c=5.145 alpha=90.00 beta=90.00 gamma=90.00
Fractional coordinates of all 5 atoms:
Zr1 0.500 0.500 0.500
Hf1 0.500 0.000 0.000
Zn1 0.000 0.000 0.000
Hf2 0.000 0.000 0.500
Rb1 0.000 0.500 0.000

=====

(20)
Entry from the Alexandria database: an optimized crystal structure of Rb2HfZr (PBE-GGA).

Summary:
Symmetry = I-42d (122)
Energy of formation = 1.5280 eV per atom

Unit cell a=13.475 b=13.475 c=9.872 alpha=46.96 beta=46.96 gamma=90.00
Fractional coordinates of all 8 atoms:
Rb1 0.875 0.736 0.750
Hf1 0.000 0.000 0.000
Rb2 0.375 0.514 0.750
Zr1 0.500 0.500 0.000
Rb3 0.264 0.625 0.250
Hf2 0.750 0.250 0.500
Rb4 0.486 0.125 0.250
Zr2 0.250 0.750 0.500